[1]
A relaxed SrScZn3 crystal. Source: Alexandria, functional PBE.

Geometry as POSCAR:
```
SrScZn3
1.0
-3.8412 -3.5029 0.5625
2.8671 -2.5767 3.5329
-2.0895 2.9038 3.8136
Zn Sc Sr
3 1 1
Direct
0.5000 0.0000 0.0000 Zn
0.0000 0.0000 0.5000 Zn
0.0000 0.5000 0.0000 Zn
0.0000 0.0000 0.0000 Sc
0.5000 0.5000 0.5000 Sr
```

Properties
The value obtained for the total energy is -10.6 eV for the cell shown. As for the formation energy: 0.238 eV/atom. The value obtained for the volume is 28.59 Å³/atom. Its total magnetization is 0.00 μB per formula unit. The offset from the most stable computed form is 0 meV per atom. Its space group is Pm-3m (221).

=====

[2]
A relaxed SrScZn2 crystal. Source: Alexandria, functional PBE.

Geometry as POSCAR:
```
SrScZn2
1.0
8.5646 -0.0050 -0.0030
7.6989 3.7522 -0.0030
7.6989 1.7739 3.3064
Zn Sc Sr
2 1 1
Direct
0.9872 0.9872 0.9872 Zn
0.5128 0.5128 0.5128 Zn
0.2500 0.2500 0.2500 Sc
0.7500 0.7500 0.7500 Sr
```

Properties
The value obtained for the total energy is -10.5 eV for the cell shown. As for the formation energy: 0.025 eV/atom. The value obtained for the volume is 26.62 Å³/atom. Its total magnetization is 0.00 μB per formula unit. Its space group is R-3m (166).